Here is RbCoB after structural relaxation from the Open Quantum Materials Database. Energies are from PBE-GGA.

The value obtained for the distance to the lowest polymorph of the same formula is 0.0 meV per atom. Its density is 4.5 g/cm3. The raw total energy is -2.930 eV per atom.

The structure belongs to space group F-43m (No. 216); the cell edges are 6.124, 6.124 and 6.124 Å and the angles 90.00°, 90.00° and 90.00°. The inequivalent atoms are Rb at (0.000, 0.000, 0.000), Co at (0.250, 0.250, 0.750) and B at (0.000, 0.000, 0.500).